[1]
! KCrPt2 | Alexandria | PBE | relaxed; values from VASP
! - formation enthalpy at 0 K (eV/atom) = 0.41
! - DFT total energy (eV per atom) = -5.286
! - space-group type = P4/mmm (123)
&SYSTEM
  ibrav = 0, nat = 4, ntyp = 3
/
ATOMIC_SPECIES
K 39.10 K.upf
Pt 195.08 Pt.upf
Cr 52.00 Cr.upf
CELL_PARAMETERS angstrom
-0.394 3.739 3.521
-1.744 -3.418 3.435
2.643 -0.509 0.836
ATOMIC_POSITIONS angstrom
K 0.449 -1.964 2.136
Pt -1.069 0.160 3.478
Pt 0.000 0.000 0.000
Cr 1.124 1.615 2.178

[2]
! KCrPt2 | Alexandria | PBE | relaxed; values from VASP
! - formation enthalpy at 0 K (eV/atom) = 0.37
! - DFT total energy (eV per atom) = -5.331
! - space-group type = Cmmm (65)
&SYSTEM
  ibrav = 0, nat = 4, ntyp = 3
/
ATOMIC_SPECIES
Pt 195.08 Pt.upf
K 39.10 K.upf
Cr 52.00 Cr.upf
CELL_PARAMETERS angstrom
5.187 0.000 0.000
-1.695 4.902 0.000
0.000 0.000 2.859
ATOMIC_POSITIONS angstrom
Pt 0.000 0.000 0.000
K -0.848 2.451 1.430
Cr 2.593 0.000 1.430
Pt 1.746 2.451 0.000

[3]
! KCrPt2 | Alexandria | PBE | relaxed; values from VASP
! - formation enthalpy at 0 K (eV/atom) = 0.49
! - DFT total energy (eV per atom) = -5.209
! - space-group type = P4/mmm (123)
&SYSTEM
  ibrav = 0, nat = 4, ntyp = 3
/
ATOMIC_SPECIES
Pt 195.08 Pt.upf
Cr 52.00 Cr.upf
K 39.10 K.upf
CELL_PARAMETERS angstrom
4.233 0.000 0.000
0.000 4.237 0.000
0.000 0.000 4.130
ATOMIC_POSITIONS angstrom
Pt 2.117 2.118 0.000
Cr 2.117 0.000 2.065
K 0.000 2.118 2.065
Pt 0.000 0.000 0.000

[4]
! KCr2Pt | Alexandria | PBE | relaxed; values from VASP
! - formation enthalpy at 0 K (eV/atom) = 1.00
! - DFT total energy (eV per atom) = -5.596
! - space-group type = I-4m2 (119)
! - polymorph energy (0 for the lowest one) (eV per atom) = 0.596
&SYSTEM
  ibrav = 0, nat = 4, ntyp = 3
/
ATOMIC_SPECIES
Pt 195.08 Pt.upf
Cr 52.00 Cr.upf
K 39.10 K.upf
CELL_PARAMETERS angstrom
4.894 0.001 0.000
0.013 4.894 0.000
-2.453 -2.448 3.456
ATOMIC_POSITIONS angstrom
Pt 2.447 0.001 1.728
Cr 0.006 2.447 1.728
K 2.453 2.448 0.000
Cr 0.000 0.000 0.000

[5]
! KCr2Pt | Alexandria | PBE | relaxed; values from VASP
! - formation enthalpy at 0 K (eV/atom) = 1.38
! - DFT total energy (eV per atom) = -5.217
! - space-group type = Fm-3m (225)
! - polymorph energy (0 for the lowest one) (eV per atom) = 0.974
&SYSTEM
  ibrav = 0, nat = 4, ntyp = 3
/
ATOMIC_SPECIES
Pt 195.08 Pt.upf
Cr 52.00 Cr.upf
K 39.10 K.upf
CELL_PARAMETERS angstrom
2.642 -1.665 3.189
-1.686 -0.956 4.021
-0.452 -4.253 1.277
ATOMIC_POSITIONS angstrom
Pt 0.252 -3.437 4.244
Cr 0.378 -5.155 6.366
Cr 0.126 -1.718 2.122
K 0.000 0.000 0.000

[6]
! KCr2Pt | Alexandria | PBE | relaxed; values from VASP
! - formation enthalpy at 0 K (eV/atom) = 0.94
! - DFT total energy (eV per atom) = -5.656
! - space-group type = P4/mmm (123)
! - polymorph energy (0 for the lowest one) (eV per atom) = 0.535
&SYSTEM
  ibrav = 0, nat = 4, ntyp = 3
/
ATOMIC_SPECIES
Cr 52.00 Cr.upf
Pt 195.08 Pt.upf
K 39.10 K.upf
CELL_PARAMETERS angstrom
-3.997 -0.465 -0.171
0.096 -2.242 3.860
-0.541 3.826 2.237
ATOMIC_POSITIONS angstrom
Cr -0.222 0.792 3.048
Pt -2.269 1.681 1.033
K -1.951 -1.354 1.844
Cr 0.000 0.000 0.000

[7]
! KCr2Pt | Alexandria | PBE | relaxed; values from VASP
! - formation enthalpy at 0 K (eV/atom) = 0.41
! - DFT total energy (eV per atom) = -6.191
! - space-group type = P4mm (99)
! - polymorph energy (0 for the lowest one) (eV per atom) = 0.000
&SYSTEM
  ibrav = 0, nat = 4, ntyp = 3
/
ATOMIC_SPECIES
Cr 52.00 Cr.upf
K 39.10 K.upf
Pt 195.08 Pt.upf
CELL_PARAMETERS angstrom
3.044 0.000 0.000
0.000 3.044 0.000
0.000 0.000 8.338
ATOMIC_POSITIONS angstrom
Cr 1.522 1.522 1.349
K 0.000 0.000 4.284
Pt 1.522 1.522 6.810
Cr 0.000 0.000 0.063

[8]
! K2CrPt2 | Alexandria | PBE | relaxed; values from VASP
! - formation enthalpy at 0 K (eV/atom) = 1.08
! - DFT total energy (eV per atom) = -3.698
! - space-group type = P4/mbm (127)
! - polymorph energy (0 for the lowest one) (eV per atom) = 0.057
&SYSTEM
  ibrav = 0, nat = 10, ntyp = 3
/
ATOMIC_SPECIES
Pt 195.08 Pt.upf
K 39.10 K.upf
Cr 52.00 Cr.upf
CELL_PARAMETERS angstrom
-2.201 1.566 8.732
8.532 -2.089 2.526
0.726 2.619 -0.287
ATOMIC_POSITIONS angstrom
Pt 1.266 1.410 3.064
K 3.301 0.101 9.280
Pt 1.247 1.929 7.750
Pt 5.811 0.167 3.220
K 6.703 -1.246 5.596
Cr 0.000 0.000 0.000
Cr 3.166 -0.261 5.629
K 3.030 -0.624 1.977
Pt 5.792 0.686 7.906
K -0.372 0.723 5.662

Copy entry 5 word for word.
! KCr2Pt | Alexandria | PBE | relaxed; values from VASP
! - formation enthalpy at 0 K (eV/atom) = 1.38
! - DFT total energy (eV per atom) = -5.217
! - space-group type = Fm-3m (225)
! - polymorph energy (0 for the lowest one) (eV per atom) = 0.974
&SYSTEM
  ibrav = 0, nat = 4, ntyp = 3
/
ATOMIC_SPECIES
Pt 195.08 Pt.upf
Cr 52.00 Cr.upf
K 39.10 K.upf
CELL_PARAMETERS angstrom
2.642 -1.665 3.189
-1.686 -0.956 4.021
-0.452 -4.253 1.277
ATOMIC_POSITIONS angstrom
Pt 0.252 -3.437 4.244
Cr 0.378 -5.155 6.366
Cr 0.126 -1.718 2.122
K 0.000 0.000 0.000

formation enthalpy at 0 K of number 6 (KCr2Pt)? 0.94 eV/atom

Number 6 is which compound? KCr2Pt

formation enthalpy at 0 K of number 1 (KCrPt2)? 0.41 eV/atom